Entry 1:
{
  "formula": "LaDyZnPd",
  "functional": "PBE",
  "state": "relaxed",
  "lattice_angstrom": [[-3.761, 1.175, 0.195], [-1.345, -4.378, 0.457], [2.299, -0.149, 5.339]],
  "species": ["La", "Dy", "Zn", "Pd"],
  "fractional_positions": [[0.856, 0.500, 0.712], [0.139, 0.000, 0.278], [0.429, 0.000, 0.859], [0.576, 0.500, 0.151]],
  "ef_ev_per_fu": -2.22,
  "e_above_lowest_polymorph_kcal_per_mol_atoms": 0.00,
  "final_energy_ev_per_cell": -18.22
}

---

Entry 2:
{
  "formula": "La10Pm4Dy",
  "functional": "PBE",
  "state": "relaxed",
  "lattice_angstrom": [[-6.418, -1.940, -4.210], [-0.742, -9.469, -1.950], [-7.766, -2.156, 5.390]],
  "species": ["La", "La", "La", "La", "La", "La", "La", "La", "La", "La", "Pm", "Pm", "Pm", "Pm", "Dy"],
  "fractional_positions": [[0.250, 0.500, 0.500], [0.652, 0.298, 0.900], [0.049, 0.100, 0.298], [0.448, 0.900, 0.702], [0.850, 0.702, 0.100], [0.348, 0.702, 0.100], [0.750, 0.500, 0.500], [0.150, 0.298, 0.900], [0.552, 0.100, 0.298], [0.951, 0.900, 0.702], [0.400, 0.800, 0.400], [0.800, 0.600, 0.800], [0.200, 0.400, 0.200], [0.600, 0.200, 0.600], [0.000, 0.000, 0.000]],
  "ef_ev_per_fu": 9.59,
  "final_energy_ev_per_cell": -63.29
}

---

Entry 3:
{
  "formula": "La2Pm4Dy",
  "functional": "PBE",
  "state": "relaxed",
  "lattice_angstrom": [[6.659, 0.000, 0.000], [0.000, 12.796, 3.804], [0.000, 3.962, 12.748]],
  "species": ["Pm", "Pm", "Pm", "Pm", "Pm", "Pm", "Pm", "Pm", "Pm", "Pm", "Pm", "Pm", "Pm", "Pm", "Pm", "Pm", "Dy", "Dy", "Dy", "Dy", "La", "La", "La", "La", "La", "La", "La", "La"],
  "fractional_positions": [[0.090, 0.293, 0.540], [0.604, 0.238, 0.481], [0.104, 0.019, 0.262], [0.590, 0.040, 0.793], [0.590, 0.960, 0.207], [0.104, 0.981, 0.738], [0.604, 0.762, 0.519], [0.090, 0.707, 0.460], [0.410, 0.793, 0.040], [0.896, 0.738, 0.981], [0.396, 0.519, 0.762], [0.910, 0.540, 0.293], [0.910, 0.460, 0.707], [0.396, 0.481, 0.238], [0.896, 0.262, 0.019], [0.410, 0.207, 0.960], [0.310, 0.000, 0.500], [0.810, 0.000, 0.500], [0.690, 0.500, 0.000], [0.190, 0.500, 0.000], [0.500, 0.218, 0.218], [0.000, 0.139, 0.861], [0.000, 0.861, 0.139], [0.500, 0.782, 0.782], [0.500, 0.639, 0.361], [0.000, 0.718, 0.718], [0.500, 0.361, 0.639], [0.000, 0.282, 0.282]],
  "ef_ev_per_fu": 1.22,
  "e_above_lowest_polymorph_kcal_per_mol_atoms": 0.00,
  "final_energy_ev_per_cell": -128.97
}

---

Entry 4:
{
  "formula": "LaPm5Dy2",
  "functional": "PBE",
  "state": "relaxed",
  "lattice_angstrom": [[6.066, 0.000, 2.243], [2.682, 11.705, 2.071], [-1.924, -2.694, 14.529]],
  "species": ["La", "La", "La", "La", "Pm", "Pm", "Pm", "Pm", "Pm", "Pm", "Pm", "Pm", "Pm", "Pm", "Pm", "Pm", "Pm", "Pm", "Pm", "Pm", "Pm", "Pm", "Pm", "Pm", "Dy", "Dy", "Dy", "Dy", "Dy", "Dy", "Dy", "Dy"],
  "fractional_positions": [[0.846, 0.119, 0.385], [0.350, 0.381, 0.115], [0.650, 0.619, 0.885], [0.154, 0.881, 0.615], [0.195, 0.993, 0.164], [0.292, 0.089, 0.483], [0.791, 0.181, 0.640], [0.377, 0.191, 0.282], [0.850, 0.309, 0.218], [0.267, 0.159, 0.967], [0.393, 0.341, 0.533], [0.352, 0.507, 0.336], [0.136, 0.589, 0.983], [0.611, 0.319, 0.860], [0.389, 0.681, 0.140], [0.864, 0.411, 0.017], [0.648, 0.493, 0.664], [0.607, 0.659, 0.467], [0.733, 0.841, 0.033], [0.150, 0.691, 0.782], [0.623, 0.809, 0.718], [0.209, 0.819, 0.360], [0.708, 0.911, 0.517], [0.805, 0.007, 0.836], [0.299, 0.098, 0.729], [0.750, 0.116, 0.061], [0.928, 0.384, 0.439], [0.874, 0.598, 0.229], [0.126, 0.402, 0.771], [0.072, 0.616, 0.561], [0.250, 0.884, 0.939], [0.701, 0.902, 0.271]],
  "ef_ev_per_fu": 0.85,
  "e_above_lowest_polymorph_kcal_per_mol_atoms": 2.08,
  "final_energy_ev_per_cell": -148.14
}